K2NaGa | PBE-GGA | optimized geometry

Properties
- Size of the total moment: 0.0 μB/f.u.
- V: 45.38 Å³ per atom
- DFT total energy: -0.0487 hartree per atom
- DFT formation energy: 0.31 eV/atom
- ρ: 1.564 g/cm³

Geometry as extended XYZ:
```
4
Lattice="-0.008 3.476 -1.800 0.394 0.191 -3.889 -13.459 0.459 -3.311" Properties=species:S:1:pos:R:3 pbc="T T T"
Na -6.536 2.062 -4.500
K -10.123 0.646 -2.964
K -2.950 3.479 -6.036
Ga 0.000 0.000 0.000
```